Entry 1:
First-principles (PBE) data for a relaxed structure of NaIBr, as listed in Alexandria via LeMat-Bulk.

Energy relative to the elements, uncorrected, eV/atom: -0.667
Symmetry: P3m1 (156)
Magnetization, Bohr magnetons per cell: 1.015
Distance to the lowest polymorph of the same formula, meV per atom: 309

POSCAR file:
```
NaIBr
1.0
5.4715 0.0000 0.0000
0.0000 4.7395 0.0000
0.0000 -2.3698 4.1045
I Na Br
1 1 1
Direct
0.7141 0.6667 0.3333
0.0498 0.0000 0.0000
0.2361 0.3333 0.6667
```

***

Entry 2:
First-principles (PBE) data for a relaxed structure of NaIBr4, as listed in Alexandria via LeMat-Bulk.

Energy relative to the elements, uncorrected, eV/atom: -0.534
Symmetry: P2_1/c (14)
Magnetization, Bohr magnetons per cell: 0.000
Distance to the lowest polymorph of the same formula, meV per atom: 6

POSCAR file:
```
NaIBr4
1.0
-3.3722 0.5591 3.0438
3.7993 -3.9362 4.9322
5.2385 11.6908 3.6562
Br Na I
8 2 2
Direct
0.2875 0.8276 0.1434
0.2125 0.3276 0.6434
0.0264 0.3232 0.1141
0.7125 0.1724 0.8566
0.9736 0.6768 0.8859
0.7875 0.6724 0.3566
0.4736 0.8232 0.6141
0.5264 0.1768 0.3859
0.0000 0.0000 0.5000
0.5000 0.5000 0.0000
0.5000 0.5000 0.5000
0.0000 0.0000 0.0000
```

***

Entry 3:
First-principles (PBE) data for a relaxed structure of Na2IBr2, as listed in Alexandria via LeMat-Bulk.

Energy relative to the elements, uncorrected, eV/atom: -1.047
Symmetry: I4/mmm (139)
Magnetization, Bohr magnetons per cell: 0.000

POSCAR file:
```
Na2IBr2
1.0
-4.8365 2.9113 -0.7598
-2.8194 -4.8875 -0.7804
-4.7334 -1.2350 4.0477
Na I Br
2 1 2
Direct
0.2500 0.7500 0.5000
0.7500 0.2500 0.5000
0.0000 0.0000 0.0000
0.6646 0.6646 0.6707
0.3354 0.3354 0.3293
```

***

Entry 4:
First-principles (PBE) data for a relaxed structure of NaIBr2, as listed in Alexandria via LeMat-Bulk.

Energy relative to the elements, uncorrected, eV/atom: -0.408
Symmetry: R-3m (166)
Magnetization, Bohr magnetons per cell: 0.000
Distance to the lowest polymorph of the same formula, meV per atom: 383

POSCAR file:
```
NaIBr2
1.0
1.5562 -2.4756 5.0922
5.2311 -2.6058 0.5716
4.1861 2.4180 3.3333
I Br Na
1 2 1
Direct
0.5000 0.5000 0.5000
0.1920 0.1920 0.1920
0.8080 0.8080 0.8080
0.0000 0.0000 0.0000
```

***

Entry 5:
First-principles (PBE) data for a relaxed structure of NaIBr, as listed in Alexandria via LeMat-Bulk.

Energy relative to the elements, uncorrected, eV/atom: -0.976
Symmetry: C2/m (12)
Magnetization, Bohr magnetons per cell: 0.000
Distance to the lowest polymorph of the same formula, meV per atom: 0

POSCAR file:
```
NaIBr
1.0
4.1663 0.0000 -1.0202
-0.4532 3.9190 -1.8511
1.5987 -5.7733 15.5482
Br Na I
2 2 2
Direct
0.3121 0.0777 0.6241
0.6879 0.9223 0.3759
0.8217 0.6350 0.6435
0.1783 0.3650 0.3565
0.4441 0.0701 0.8882
0.5559 0.9299 0.1118
```

***

Entry 6:
First-principles (PBE) data for a relaxed structure of NaIBr2, as listed in Alexandria via LeMat-Bulk.

Energy relative to the elements, uncorrected, eV/atom: -0.791
Symmetry: R-3m (166)
Magnetization, Bohr magnetons per cell: 0.000
Distance to the lowest polymorph of the same formula, meV per atom: 0

POSCAR file:
```
NaIBr2
1.0
4.1919 1.2227 7.5183
7.4532 1.6648 4.1557
4.6035 5.2721 5.1579
I Na Br
1 1 2
Direct
0.0000 0.0000 0.0000
0.5000 0.5000 0.5000
0.8895 0.8895 0.8895
0.1105 0.1105 0.1105
```